{
  "formula": "NdTmInAg",
  "functional": "GGA-PBE",
  "state": "optimized geometry",
  "formation_energy_mev_per_atom": -395,
  "spacegroup": "No. 99",
  "relative_energy_ev_per_atom": 0.0000,
  "cell": [[3.647, 0.000, 0.000], [0.000, 3.647, 0.000], [0.000, 0.000, 7.842]],
  "species": ["Nd", "Ag", "Tm", "In"],
  "fractional_positions": [[0.000, 0.000, 0.849], [0.500, 0.500, 0.580], [0.000, 0.000, 0.376], [0.500, 0.500, 0.123]]
}

=====

{
  "formula": "Mg3BI",
  "functional": "GGA-PBE",
  "state": "optimized geometry",
  "formation_energy_uncorrected_kj_per_mol_atoms": -6.6,
  "spacegroup": "No. 221",
  "relative_energy_ev_per_atom": 0.0000,
  "cell": [[4.751, 0.000, 0.000], [0.000, 4.751, 0.000], [0.000, 0.000, 4.751]],
  "species": ["B", "Mg", "Mg", "Mg", "I"],
  "fractional_positions": [[0.000, 0.000, 0.000], [0.000, 0.500, 0.000], [0.500, 0.000, 0.000], [0.000, 0.000, 0.500], [0.500, 0.500, 0.500]]
}

=====

{
  "formula": "Nd4AuSeS2",
  "functional": "GGA-PBE",
  "state": "optimized geometry",
  "formation_energy_uncorrected_kj_per_mol_atoms": -158.9,
  "spacegroup": "No. 10",
  "cell": [[4.129, 0.000, 0.000], [0.000, 7.280, -0.174], [0.000, 2.535, 6.797]],
  "species": ["S", "S", "Nd", "Nd", "Nd", "Nd", "Se", "Au"],
  "fractional_positions": [[0.500, 0.000, 0.500], [0.000, 0.000, 0.000], [0.500, 0.233, 0.753], [0.000, 0.236, 0.257], [0.000, 0.764, 0.743], [0.500, 0.767, 0.247], [0.000, 0.500, 0.500], [0.500, 0.500, 0.000]]
}

=====

{
  "formula": "SbTe2RuAu",
  "functional": "GGA-PBE",
  "state": "optimized geometry",
  "formation_energy_uncorrected_kj_per_mol_atoms": 127.3,
  "spacegroup": "No. 123",
  "relative_energy_ev_per_atom": 0.7392,
  "cell": [[-2.875, 1.381, -4.317], [-0.101, -5.130, -1.574], [-4.381, -0.737, 2.683]],
  "species": ["Te", "Te", "Au", "Ru", "Sb"],
  "fractional_positions": [[0.500, 0.000, 0.000], [0.000, 0.500, 0.000], [0.000, 0.000, 0.000], [0.500, 0.500, 0.500], [0.000, 0.000, 0.500]]
}

=====

| no. | density (g/cm³) |
| --- | --- |
| 1 | 8.53 |
| 2 | 3.26 |
| 3 | 7.39 |
| 4 | 7.50 |